First-principles (GGA-PBE) data for a relaxed Al3AgOs crystal, as listed in Alexandria via LeMat-Bulk.

The structure belongs to space group Pm-3m (No. 221); the cell edges are 4.7362, 4.7362 and 4.7362 Å and the angles 90.00°, 90.00° and 90.00°. The asymmetric unit holds Al at (0.0000, 0.0000, 0.5000), Ag at (0.5000, 0.5000, 0.5000) and Os at (0.0000, 0.0000, 0.0000).

The formation energy comes out at 0.144 eV per atom. The calculation puts the polymorph energy (0 for the lowest one) at 0 meV/atom. Its density of states at the Fermi level is 2.2 states/eV/cell.



First-principles (GGA-PBE) data for a relaxed Al2AgOs crystal, as listed in Alexandria via LeMat-Bulk.

The structure belongs to space group C2/m (No. 12); the cell edges are 8.5725, 2.9697 and 5.0137 Å and the angles 90.00°, 102.38° and 90.00°. The asymmetric unit holds Al at (0.2392, 0.0000, 0.2192), Ag at (0.0000, 0.0000, 0.5000) and Os at (0.0000, 0.5000, 0.0000).

The formation energy comes out at -0.013 eV per atom. Its density of states at the Fermi level is 5.7 states/eV/cell.



First-principles (GGA-PBE) data for a relaxed Al2AgOs crystal, as listed in Alexandria via LeMat-Bulk.

The structure belongs to space group I-42d (No. 122); the cell edges are 4.0187, 4.0187 and 17.2149 Å and the angles 90.00°, 90.00° and 90.00°. The asymmetric unit holds Al at (0.2222, 0.2500, 0.1250), Ag at (0.0000, 0.0000, 0.5000) and Os at (0.0000, 0.0000, 0.0000).

The formation energy comes out at 0.420 eV per atom. Its density of states at the Fermi level is 12.6 states/eV/cell.